# 1
# SnPt3S

A geometry-optimized SnPt3S structure (PBE-GGA, the Alexandria database). Values from VASP.

Results
Total magnetization = 0.00 μB per formula unit
Excess energy over the best structure of this formula in the dataset = 1078 meV per atom
SG = Pm-3m
Raw formation energy = 595 kJ/mol of formula units

```
&SYSTEM
  ibrav = 0, nat = 5, ntyp = 3
/
ATOMIC_SPECIES
Pt 195.08 Pt.upf
Sn 118.71 Sn.upf
S 32.06 S.upf
ATOMIC_POSITIONS crystal
Pt 0.0000 0.0000 0.5000
Pt 0.0000 0.5000 0.0000
Pt 0.5000 0.0000 0.0000
Sn 0.0000 0.0000 0.0000
S 0.5000 0.5000 0.5000
CELL_PARAMETERS angstrom
4.9540 0.0000 0.0000
0.0000 4.9540 0.0000
0.0000 0.0000 4.9540
```


# 2
# SnPt3S

A geometry-optimized SnPt3S structure (PBE-GGA, the Alexandria database). Values from VASP.

Results
Total magnetization = 0.00 μB per formula unit
Excess energy over the best structure of this formula in the dataset = 0 meV per atom
SG = Pm-3m
Raw formation energy = 75 kJ/mol of formula units

```
&SYSTEM
  ibrav = 0, nat = 5, ntyp = 3
/
ATOMIC_SPECIES
Pt 195.08 Pt.upf
S 32.06 S.upf
Sn 118.71 Sn.upf
ATOMIC_POSITIONS crystal
Pt 0.0000 0.0000 0.5000
Pt 0.5000 0.0000 0.0000
Pt 0.0000 0.5000 0.0000
S 0.0000 0.0000 0.0000
Sn 0.5000 0.5000 0.5000
CELL_PARAMETERS angstrom
4.6060 0.0000 0.0000
0.0000 4.6060 0.0000
0.0000 0.0000 4.6060
```


# 3
# TaSnPt2S

A geometry-optimized TaSnPt2S structure (PBE-GGA, the Alexandria database). Values from VASP.

Results
Total magnetization = 0.00 μB per formula unit
SG = P4/mmm
Raw formation energy = 95 kJ/mol of formula units

```
&SYSTEM
  ibrav = 0, nat = 5, ntyp = 4
/
ATOMIC_SPECIES
Sn 118.71 Sn.upf
Ta 180.95 Ta.upf
Pt 195.08 Pt.upf
S 32.06 S.upf
ATOMIC_POSITIONS crystal
Sn 0.5000 0.5000 0.5000
Ta 0.0000 0.0000 0.0000
Pt 0.5000 0.0000 0.0000
Pt 0.0000 0.0000 0.5000
S 0.0000 0.5000 0.0000
CELL_PARAMETERS angstrom
5.0330 0.0000 0.0000
0.0000 4.6381 0.0000
0.0000 0.0000 5.0330
```


# 4
# TcSnPt2S

A geometry-optimized TcSnPt2S structure (PBE-GGA, the Alexandria database). Values from VASP.

Results
Total magnetization = 0.00 μB per formula unit
SG = P4/mmm
Raw formation energy = 222 kJ/mol of formula units

```
&SYSTEM
  ibrav = 0, nat = 5, ntyp = 4
/
ATOMIC_SPECIES
S 32.06 S.upf
Sn 118.71 Sn.upf
Pt 195.08 Pt.upf
Tc 98.00 Tc.upf
ATOMIC_POSITIONS crystal
S 0.0000 0.5000 0.0000
Sn 0.5000 0.5000 0.5000
Pt 0.0000 0.0000 0.5000
Pt 0.5000 0.0000 0.0000
Tc 0.0000 0.0000 0.0000
CELL_PARAMETERS angstrom
4.9998 0.0000 0.0000
0.0000 4.3545 0.0000
0.0000 0.0000 4.9998
```


# 5
# Sr2PtS

A geometry-optimized Sr2PtS structure (PBE-GGA, the Alexandria database). Values from VASP.

Results
Total magnetization = 0.00 μB per formula unit
SG = I-42d
Raw formation energy = -429 kJ/mol of formula units

```
&SYSTEM
  ibrav = 0, nat = 8, ntyp = 3
/
ATOMIC_SPECIES
Sr 87.62 Sr.upf
Pt 195.08 Pt.upf
S 32.06 S.upf
ATOMIC_POSITIONS crystal
Sr 0.1340 0.6250 0.2500
Sr 0.3750 0.3840 0.7500
Sr 0.6160 0.1250 0.2500
Sr 0.8750 0.8660 0.7500
Pt 0.0000 0.0000 0.0000
Pt 0.7500 0.2500 0.5000
S 0.2500 0.7500 0.5000
S 0.5000 0.5000 0.0000
CELL_PARAMETERS angstrom
-4.9782 -5.8132 -0.1151
5.4168 -4.6920 2.6892
-0.9932 -4.2957 5.3990
```


# 6
# SrPtS2

A geometry-optimized SrPtS2 structure (PBE-GGA, the Alexandria database). Values from VASP.

Results
Total magnetization = 0.00 μB per formula unit
Excess energy over the best structure of this formula in the dataset = 131 meV per atom
SG = R-3m
Raw formation energy = -277 kJ/mol of formula units

```
&SYSTEM
  ibrav = 0, nat = 4, ntyp = 3
/
ATOMIC_SPECIES
Sr 87.62 Sr.upf
S 32.06 S.upf
Pt 195.08 Pt.upf
ATOMIC_POSITIONS crystal
Sr 0.5000 0.5000 0.5000
S 0.8661 0.8661 0.8661
S 0.1339 0.1339 0.1339
Pt 0.0000 0.0000 0.0000
CELL_PARAMETERS angstrom
-5.5076 1.9252 2.0674
-2.8986 -1.1204 5.3532
-1.4345 3.8055 4.6663
```


# 7
# SrPtS2

A geometry-optimized SrPtS2 structure (PBE-GGA, the Alexandria database). Values from VASP.

Results
Total magnetization = 1.85 μB per formula unit
Excess energy over the best structure of this formula in the dataset = 424 meV per atom
SG = Fm-3m
Raw formation energy = -164 kJ/mol of formula units

```
&SYSTEM
  ibrav = 0, nat = 4, ntyp = 3
/
ATOMIC_SPECIES
S 32.06 S.upf
Sr 87.62 Sr.upf
Pt 195.08 Pt.upf
ATOMIC_POSITIONS crystal
S 0.2500 0.2500 0.2500
S 0.7500 0.7500 0.7500
Sr 0.0000 0.0000 0.0000
Pt 0.5000 0.5000 0.5000
CELL_PARAMETERS angstrom
0.0000 3.4132 3.4132
3.4132 0.0000 3.4132
3.4132 3.4132 0.0000
```


# 8
# Sr2PtS

A geometry-optimized Sr2PtS structure (PBE-GGA, the Alexandria database). Values from VASP.

Results
Total magnetization = 0.00 μB per formula unit
SG = R3m
Raw formation energy = -500 kJ/mol of formula units

```
&SYSTEM
  ibrav = 0, nat = 4, ntyp = 3
/
ATOMIC_SPECIES
S 32.06 S.upf
Sr 87.62 Sr.upf
Pt 195.08 Pt.upf
ATOMIC_POSITIONS crystal
S 0.5001 0.5001 0.4996
Sr 0.2491 0.2491 0.2527
Sr 0.0842 0.0842 0.7473
Pt 0.6665 0.6665 0.0003
CELL_PARAMETERS angstrom
-3.7826 -1.1404 -1.4775
-3.0527 -1.1434 2.6768
-4.5768 6.3318 0.8086
```


# 9
# Sr3PtS

A geometry-optimized Sr3PtS structure (PBE-GGA, the Alexandria database). Values from VASP.

Results
Total magnetization = 0.00 μB per formula unit
Excess energy over the best structure of this formula in the dataset = 0 meV per atom
SG = Pm-3m
Raw formation energy = -348 kJ/mol of formula units

```
&SYSTEM
  ibrav = 0, nat = 5, ntyp = 3
/
ATOMIC_SPECIES
Sr 87.62 Sr.upf
S 32.06 S.upf
Pt 195.08 Pt.upf
ATOMIC_POSITIONS crystal
Sr 0.0000 0.0000 0.5000
Sr 0.5000 0.0000 0.0000
Sr 0.0000 0.5000 0.0000
S 0.0000 0.0000 0.0000
Pt 0.5000 0.5000 0.5000
CELL_PARAMETERS angstrom
5.5840 0.0000 0.0000
0.0000 5.5840 0.0000
0.0000 0.0000 5.5840
```


# 10
# SrPtS2

A geometry-optimized SrPtS2 structure (PBE-GGA, the Alexandria database). Values from VASP.

Results
Total magnetization = 0.00 μB per formula unit
Excess energy over the best structure of this formula in the dataset = 484 meV per atom
SG = R-3m
Raw formation energy = -140 kJ/mol of formula units

```
&SYSTEM
  ibrav = 0, nat = 4, ntyp = 3
/
ATOMIC_SPECIES
S 32.06 S.upf
Pt 195.08 Pt.upf
Sr 87.62 Sr.upf
ATOMIC_POSITIONS crystal
S 0.1197 0.1197 0.1197
S 0.8803 0.8803 0.8803
Pt 0.5000 0.5000 0.5000
Sr 0.0000 0.0000 0.0000
CELL_PARAMETERS angstrom
0.9305 1.3203 8.3057
-0.1767 -2.3027 8.1401
3.4665 -1.4064 7.5894
```


# 11
# SrPtS3

A geometry-optimized SrPtS3 structure (PBE-GGA, the Alexandria database). Values from VASP.

Results
Total magnetization = 0.00 μB per formula unit
Excess energy over the best structure of this formula in the dataset = 1683 meV per atom
SG = Pm-3m
Raw formation energy = 526 kJ/mol of formula units

```
&SYSTEM
  ibrav = 0, nat = 5, ntyp = 3
/
ATOMIC_SPECIES
S 32.06 S.upf
Pt 195.08 Pt.upf
Sr 87.62 Sr.upf
ATOMIC_POSITIONS crystal
S 0.0000 0.5000 0.0000
S 0.0000 0.0000 0.5000
S 0.5000 0.0000 0.0000
Pt 0.5000 0.5000 0.5000
Sr 0.0000 0.0000 0.0000
CELL_PARAMETERS angstrom
-3.0969 4.1909 1.5281
-1.6499 0.6521 -5.1324
-4.1445 -3.3912 0.9014
```


# 12
# SrPtS3

A geometry-optimized SrPtS3 structure (PBE-GGA, the Alexandria database). Values from VASP.

Results
Total magnetization = 0.00 μB per formula unit
Excess energy over the best structure of this formula in the dataset = 0 meV per atom
SG = Pm-3m
Raw formation energy = -285 kJ/mol of formula units

```
&SYSTEM
  ibrav = 0, nat = 5, ntyp = 3
/
ATOMIC_SPECIES
S 32.06 S.upf
Sr 87.62 Sr.upf
Pt 195.08 Pt.upf
ATOMIC_POSITIONS crystal
S 0.5000 0.0000 0.0000
S 0.0000 0.5000 0.0000
S 0.0000 0.0000 0.5000
Sr 0.5000 0.5000 0.5000
Pt 0.0000 0.0000 0.0000
CELL_PARAMETERS angstrom
-0.4130 4.7874 -0.1043
-3.2927 -0.3600 -3.4827
-3.4768 -0.2278 3.3107
```


# 13
# SrPtS2

A geometry-optimized SrPtS2 structure (PBE-GGA, the Alexandria database). Values from VASP.

Results
Total magnetization = 0.00 μB per formula unit
Excess energy over the best structure of this formula in the dataset = 0 meV per atom
SG = I-42d
Raw formation energy = -327 kJ/mol of formula units

```
&SYSTEM
  ibrav = 0, nat = 8, ntyp = 3
/
ATOMIC_SPECIES
S 32.06 S.upf
Pt 195.08 Pt.upf
Sr 87.62 Sr.upf
ATOMIC_POSITIONS crystal
S 0.0340 0.6250 0.2500
S 0.7160 0.1250 0.2500
S 0.3750 0.2840 0.7500
S 0.8750 0.9660 0.7500
Pt 0.7500 0.2500 0.5000
Pt 0.0000 0.0000 0.0000
Sr 0.2500 0.7500 0.5000
Sr 0.5000 0.5000 0.0000
CELL_PARAMETERS angstrom
-2.7111 -1.3696 -4.5050
0.9390 -5.2512 1.0314
-6.8359 -3.6508 1.9473
```


# 14
# Sr2UPtS5

A geometry-optimized Sr2UPtS5 structure (PBE-GGA, the Alexandria database). Values from VASP.

Results
Total magnetization = 0.88 μB per formula unit
SG = Cmc2_1
Raw formation energy = -1255 kJ/mol of formula units

```
&SYSTEM
  ibrav = 0, nat = 18, ntyp = 4
/
ATOMIC_SPECIES
S 32.06 S.upf
Sr 87.62 Sr.upf
Pt 195.08 Pt.upf
U 238.03 U.upf
ATOMIC_POSITIONS crystal
S 0.2997 0.5994 0.6663
S 0.5003 0.0006 0.2600
S 0.4997 0.9994 0.7600
S 0.9548 0.9096 0.5301
S 0.0452 0.0904 0.0301
S 0.7003 0.4006 0.1663
S 0.3459 0.6917 0.0158
S 0.6541 0.3083 0.5158
S 0.2980 0.5959 0.3727
S 0.7020 0.4041 0.8727
Sr 0.8823 0.7645 0.1930
Sr 0.1177 0.2355 0.6930
Sr 0.8866 0.7732 0.8375
Sr 0.1134 0.2268 0.3375
Pt 0.5628 0.1256 0.9293
Pt 0.4372 0.8744 0.4293
U 0.1949 0.3899 0.0192
U 0.8051 0.6101 0.5192
CELL_PARAMETERS angstrom
-0.9061 3.6267 -1.1779
-2.3802 0.0731 8.5764
11.4887 3.8952 3.1552
```


# 15
# TaPt3S

A geometry-optimized TaPt3S structure (PBE-GGA, the Alexandria database). Values from VASP.

Results
Total magnetization = 1.43 μB per formula unit
Excess energy over the best structure of this formula in the dataset = 0 meV per atom
SG = Pm-3m
Raw formation energy = 265 kJ/mol of formula units

```
&SYSTEM
  ibrav = 0, nat = 5, ntyp = 3
/
ATOMIC_SPECIES
Ta 180.95 Ta.upf
Pt 195.08 Pt.upf
S 32.06 S.upf
ATOMIC_POSITIONS crystal
Ta 0.5000 0.5000 0.5000
Pt 0.0000 0.0000 0.5000
Pt 0.5000 0.0000 0.0000
Pt 0.0000 0.5000 0.0000
S 0.0000 0.0000 0.0000
CELL_PARAMETERS angstrom
4.4860 0.0000 0.0000
0.0000 4.4860 0.0000
0.0000 0.0000 4.4860
```


# 16
# TaPt2S6

A geometry-optimized TaPt2S6 structure (PBE-GGA, the Alexandria database). Values from VASP.

Results
Total magnetization = 0.32 μB per formula unit
SG = C2/m
Raw formation energy = -432 kJ/mol of formula units

```
&SYSTEM
  ibrav = 0, nat = 9, ntyp = 3
/
ATOMIC_SPECIES
Pt 195.08 Pt.upf
S 32.06 S.upf
Ta 180.95 Ta.upf
ATOMIC_POSITIONS crystal
Pt 0.6665 0.3329 0.8313
Pt 0.3335 0.6671 0.1687
S 0.0152 0.0303 0.7462
S 0.6871 0.3742 0.0719
S 0.9848 0.9697 0.2538
S 0.3129 0.6258 0.9281
S 0.6591 0.3182 0.5904
S 0.3409 0.6818 0.4096
Ta 0.0000 0.0000 0.5000
CELL_PARAMETERS angstrom
-0.7299 2.4765 2.4396
-5.2173 -4.0436 -0.0421
8.4484 -2.7898 5.3596
```


# 17
# Ta2PtS

A geometry-optimized Ta2PtS structure (PBE-GGA, the Alexandria database). Values from VASP.

Results
Total magnetization = 0.00 μB per formula unit
SG = I-42d
Raw formation energy = -87 kJ/mol of formula units

```
&SYSTEM
  ibrav = 0, nat = 8, ntyp = 3
/
ATOMIC_SPECIES
Ta 180.95 Ta.upf
S 32.06 S.upf
Pt 195.08 Pt.upf
ATOMIC_POSITIONS crystal
Ta 0.5959 0.1250 0.2500
Ta 0.1541 0.6250 0.2500
Ta 0.8750 0.8459 0.7500
Ta 0.3750 0.4041 0.7500
S 0.2500 0.7500 0.5000
S 0.5000 0.5000 0.0000
Pt 0.0000 0.0000 0.0000
Pt 0.7500 0.2500 0.5000
CELL_PARAMETERS angstrom
6.8323 0.0000 0.0000
0.0000 6.8323 0.0000
3.4161 3.4161 2.9816
```


# 18
# TaPt3S

A geometry-optimized TaPt3S structure (PBE-GGA, the Alexandria database). Values from VASP.

Results
Total magnetization = 0.00 μB per formula unit
Excess energy over the best structure of this formula in the dataset = 722 meV per atom
SG = Pm-3m
Raw formation energy = 613 kJ/mol of formula units

```
&SYSTEM
  ibrav = 0, nat = 5, ntyp = 3
/
ATOMIC_SPECIES
S 32.06 S.upf
Ta 180.95 Ta.upf
Pt 195.08 Pt.upf
ATOMIC_POSITIONS crystal
S 0.5000 0.5000 0.5000
Ta 0.0000 0.0000 0.0000
Pt 0.0000 0.0000 0.5000
Pt 0.5000 0.0000 0.0000
Pt 0.0000 0.5000 0.0000
CELL_PARAMETERS angstrom
-4.6661 0.7890 -1.2294
-1.2053 -4.4044 1.7479
-0.8254 1.9711 4.3977
```


# 19
# TaPtS4

A geometry-optimized TaPtS4 structure (PBE-GGA, the Alexandria database). Values from VASP.

Results
Total magnetization = 0.00 μB per formula unit
SG = P1
Raw formation energy = -351 kJ/mol of formula units

```
&SYSTEM
  ibrav = 0, nat = 6, ntyp = 3
/
ATOMIC_SPECIES
S 32.06 S.upf
Pt 195.08 Pt.upf
Ta 180.95 Ta.upf
ATOMIC_POSITIONS crystal
S 0.3762 0.7543 0.1169
S 0.5970 0.1927 0.8793
S 0.8999 0.8013 0.6293
S 0.1278 0.2536 0.3926
Pt 0.9973 0.9947 0.0263
Ta 0.5017 0.0033 0.4555
CELL_PARAMETERS angstrom
3.4616 -0.0061 -0.0003
-1.7322 6.4820 -1.1558
0.0007 0.0117 5.8939
```


# 20
# Ta3PtS

A geometry-optimized Ta3PtS structure (PBE-GGA, the Alexandria database). Values from VASP.

Results
Total magnetization = 0.00 μB per formula unit
Excess energy over the best structure of this formula in the dataset = 0 meV per atom
SG = Pm-3m
Raw formation energy = 105 kJ/mol of formula units

```
&SYSTEM
  ibrav = 0, nat = 5, ntyp = 3
/
ATOMIC_SPECIES
S 32.06 S.upf
Pt 195.08 Pt.upf
Ta 180.95 Ta.upf
ATOMIC_POSITIONS crystal
S 0.0000 0.0000 0.0000
Pt 0.5000 0.5000 0.5000
Ta 0.5000 0.0000 0.0000
Ta 0.0000 0.0000 0.5000
Ta 0.0000 0.5000 0.0000
CELL_PARAMETERS angstrom
-1.9888 3.6987 -1.6256
-3.1838 -0.3194 3.1685
2.4872 2.5487 2.7561
```